[1]
Computed, not measured: RbBe2InTc after structural relaxation at the GGA-PBEsol level of DFT.

abc: 4.6521 4.6521 5.5091
angles: 90.00 90.00 90.00
With the nearest neighbours (Å) after each atom.
Positions (direct):
Be: 0.0000 0.5000 0.0000  2 Rb 2.33
Be: 0.5000 0.0000 0.0000  2 Rb 2.33
Tc: 0.5000 0.5000 0.5000  4 In 3.29, 8 Be 3.61
Rb: 0.0000 0.0000 0.0000  4 Be 2.33
In: 0.0000 0.0000 0.5000  2 Rb 2.75

Output
The calculation puts the total energy at -1.89 eV per atom. The calculation puts the energy relative to the elements at 2.76 eV/atom. The calculated density comes out at 4.41 Mg/m³. Its space-group type is P4/mmm.



[2]
Computed, not measured: BeInRe3 after structural relaxation at the GGA-PBEsol level of DFT.

abc: 4.1954 4.1954 4.1954
angles: 90.00 90.00 90.00
With the nearest neighbours (Å) after each atom.
Positions (direct):
Re: 0.0000 0.5000 0.0000  2 Be 2.10
Re: 0.0000 0.0000 0.5000  2 Be 2.10
Re: 0.5000 0.0000 0.0000  2 Be 2.10
Be: 0.0000 0.0000 0.0000  6 Re 2.10
In: 0.5000 0.5000 0.5000  12 Re 2.97

Output
The calculation puts the total energy at -8.49 eV per atom. The calculation puts the energy relative to the elements at 0.91 eV/atom. The calculated density comes out at 15.35 Mg/m³. Its space-group type is Pm-3m.



[3]
Computed, not measured: Be2InRe after structural relaxation at the GGA-PBEsol level of DFT.

abc: 2.7236 2.7236 8.0545
angles: 90.00 90.00 107.68
With the nearest neighbours (Å) after each atom.
Positions (direct):
Re: 0.5000 0.5000 0.0000  4 Be 2.33
Be: 0.0000 0.0000 0.2097  2 Re 2.33
Be: 0.0000 0.0000 0.7903  2 Re 2.33
In: 0.5000 0.5000 0.5000  4 In 2.72, 4 Be 2.84

Output
The calculation puts the total energy at -5.61 eV per atom. The calculation puts the energy relative to the elements at 0.47 eV/atom. The calculated density comes out at 9.31 Mg/m³. Its space-group type is Cmmm.



[4]
Computed, not measured: Be2InRh after structural relaxation at the GGA-PBEsol level of DFT.

abc: 2.8520 2.8520 8.0418
angles: 79.79 79.79 60.00
With the nearest neighbours (Å) after each atom.
Positions (direct):
Be: 0.2645 0.2645 0.2066  3 Rh 2.31
Be: 0.7355 0.7355 0.7934  3 Rh 2.31
Rh: 0.0000 0.0000 0.0000  6 Be 2.31
In: 0.5000 0.5000 0.5000  6 Be 2.84, 6 In 2.85

Output
The calculation puts the total energy at -4.62 eV per atom. The calculation puts the energy relative to the elements at 0.16 eV/atom. The calculated density comes out at 7.06 Mg/m³. Its space-group type is R-3m.



[5]
Computed, not measured: BeIn2Rh after structural relaxation at the GGA-PBEsol level of DFT.

abc: 3.7243 4.1264 4.1264
angles: 90.00 90.00 90.00
With the nearest neighbours (Å) after each atom.
Positions (direct):
Be: 0.5000 0.0000 0.0000  8 In 2.78, 4 Rh 2.92
Rh: 0.5000 0.5000 0.5000  8 In 2.78, 4 Be 2.92
In: 0.0000 0.0000 0.5000  4 Be 2.78, 4 Rh 2.78, 4 In 2.92
In: 0.0000 0.5000 0.0000  4 Rh 2.78, 4 Be 2.78, 4 In 2.92

Output
The calculation puts the total energy at -4.50 eV per atom. The calculation puts the energy relative to the elements at 0.02 eV/atom. The calculated density comes out at 8.94 Mg/m³. Its space-group type is P4/mmm.



[6]
Computed, not measured: BeInRh3 after structural relaxation at the GGA-PBEsol level of DFT.

abc: 4.1258 4.1258 4.1258
angles: 90.00 90.00 90.00
With the nearest neighbours (Å) after each atom.
Positions (direct):
Be: 0.0000 0.0000 0.0000  6 Rh 2.06
Rh: 0.0000 0.5000 0.0000  2 Be 2.06
Rh: 0.0000 0.0000 0.5000  2 Be 2.06
Rh: 0.5000 0.0000 0.0000  2 Be 2.06
In: 0.5000 0.5000 0.5000  12 Rh 2.92

Output
The calculation puts the total energy at -6.35 eV per atom. The calculation puts the energy relative to the elements at -0.07 eV/atom. The calculated density comes out at 10.23 Mg/m³. Its space-group type is Pm-3m.



[7]
Computed, not measured: BeIn2Rh2 after structural relaxation at the GGA-PBEsol level of DFT.

abc: 4.1924 6.1081 6.1081
angles: 90.00 90.00 90.00
With the nearest neighbours (Å) after each atom.
Positions (direct):
Be: 0.0000 0.0000 0.0000  4 Rh 2.31
Be: 0.0000 0.5000 0.5000  4 Rh 2.31
Rh: 0.0000 0.3456 0.8456  2 Be 2.31
Rh: 0.0000 0.8456 0.6544  2 Be 2.31
Rh: 0.0000 0.6544 0.1544  2 Be 2.31
Rh: 0.0000 0.1544 0.3456  2 Be 2.31
In: 0.5000 0.1635 0.6635  6 Rh 2.62-2.86, 1 In 2.83
In: 0.5000 0.6635 0.8365  6 Rh 2.62-2.86, 1 In 2.83
In: 0.5000 0.8365 0.3365  6 Rh 2.62-2.86, 1 In 2.83
In: 0.5000 0.3365 0.1635  6 Rh 2.62-2.86, 1 In 2.83

Output
The calculation puts the total energy at -5.61 eV per atom. The calculation puts the energy relative to the elements at -0.36 eV/atom. The calculated density comes out at 9.44 Mg/m³. Its space-group type is P4/mbm.



[8]
Computed, not measured: Be2InRu after structural relaxation at the GGA-PBEsol level of DFT.

abc: 4.2024 4.2024 4.2024
angles: 60.00 60.00 60.00
With the nearest neighbours (Å) after each atom.
Positions (direct):
Ru: 0.2500 0.2500 0.2500  4 Be 2.57, 4 In 2.57
Be: 0.0000 0.0000 0.0000  4 Be 2.57, 4 Ru 2.57
Be: 0.7500 0.7500 0.7500  4 In 2.57, 4 Be 2.57
In: 0.5000 0.5000 0.5000  4 Ru 2.57, 4 Be 2.57

Output
The calculation puts the total energy at -4.98 eV per atom. The calculation puts the energy relative to the elements at 0.31 eV/atom. The calculated density comes out at 7.40 Mg/m³. Its space-group type is F-43m. As for the polymorph energy (0 for the lowest one): 0.287 eV/atom.



[9]
Computed, not measured: Be2InRu after structural relaxation at the GGA-PBEsol level of DFT.

abc: 4.1012 4.1012 4.1012
angles: 60.00 60.00 60.00
With the nearest neighbours (Å) after each atom.
Positions (direct):
Ru: 0.5000 0.5000 0.5000  8 Be 2.51
Be: 0.2500 0.2500 0.2500  4 In 2.51, 4 Ru 2.51
Be: 0.7500 0.7500 0.7500  4 Ru 2.51, 4 In 2.51
In: 0.0000 0.0000 0.0000  8 Be 2.51

Output
The calculation puts the total energy at -5.18 eV per atom. The calculation puts the energy relative to the elements at 0.11 eV/atom. The calculated density comes out at 7.96 Mg/m³. Its space-group type is Fm-3m. As for the polymorph energy (0 for the lowest one): 0.080 eV/atom.



[10]
Computed, not measured: BeInRu2 after structural relaxation at the GGA-PBEsol level of DFT.

abc: 2.8323 4.0107 5.1344
angles: 90.00 106.00 90.00
With the nearest neighbours (Å) after each atom.
Positions (direct):
Ru: 0.0853 0.0000 0.0457  3 Be 2.56-2.80, 6 Ru 2.66-2.83
Ru: 0.6894 0.5000 0.2542  2 Be 2.29
Be: 0.8020 0.0000 0.4778  4 Ru 2.29-2.56
In: 0.4233 0.5000 0.7223  7 Ru 2.63-2.93, 4 Be 2.73-2.74, 2 In 2.83

Output
The calculation puts the total energy at -6.63 eV per atom. The calculation puts the energy relative to the elements at 0.20 eV/atom. The calculated density comes out at 9.65 Mg/m³. Its space-group type is Amm2. As for the polymorph energy (0 for the lowest one): 0.000 eV/atom.



[11]
Computed, not measured: Be2InRu after structural relaxation at the GGA-PBEsol level of DFT.

abc: 3.1689 3.9363 3.9363
angles: 90.00 90.00 90.00
With the nearest neighbours (Å) after each atom.
Positions (direct):
Ru: 0.5000 0.0000 0.0000  8 Be 2.53, 4 In 2.78
Be: 0.0000 0.0000 0.5000  4 In 2.53, 4 Ru 2.53, 4 Be 2.78
Be: 0.0000 0.5000 0.0000  4 In 2.53, 4 Ru 2.53, 4 Be 2.78
In: 0.5000 0.5000 0.5000  8 Be 2.53, 4 Ru 2.78

Output
The calculation puts the total energy at -5.23 eV per atom. The calculation puts the energy relative to the elements at 0.06 eV/atom. The calculated density comes out at 7.91 Mg/m³. Its space-group type is P4/mmm. As for the polymorph energy (0 for the lowest one): 0.038 eV/atom.



[12]
Computed, not measured: Be2InRu after structural relaxation at the GGA-PBEsol level of DFT.

abc: 3.1012 4.3453 4.4509
angles: 104.92 90.00 110.91
With the nearest neighbours (Å) after each atom.
Positions (direct):
Ru: 0.5000 0.0000 0.0000  6 Be 2.32-2.50
Be: 0.7799 0.5599 0.8672  2 Be 2.09, 2 Ru 2.32
Be: 0.2201 0.4401 0.1328  2 Be 2.09, 2 Ru 2.32
In: 0.0000 0.0000 0.5000  4 Ru 2.71, 8 Be 2.73-2.89

Output
The calculation puts the total energy at -5.26 eV per atom. The calculation puts the energy relative to the elements at 0.03 eV/atom. The calculated density comes out at 7.21 Mg/m³. Its space-group type is C2/m. As for the polymorph energy (0 for the lowest one): 0.000 eV/atom.



[13]
Computed, not measured: BeInRu2 after structural relaxation at the GGA-PBEsol level of DFT.

abc: 2.7782 4.8654 4.9928
angles: 117.08 102.84 96.60
With the nearest neighbours (Å) after each atom.
Positions (direct):
Ru: 0.0000 0.0000 0.5000  2 In 2.57, 2 Be 2.57, 4 Ru 2.66-2.78
Ru: 0.5000 0.5000 0.5000  2 Be 2.57, 2 In 2.57, 4 Ru 2.66-2.78
Be: 0.5000 0.0000 0.0000  4 Ru 2.57, 2 In 2.66, 2 Be 2.78
In: 0.0000 0.5000 0.0000  4 Ru 2.57, 2 Be 2.66, 2 In 2.78

Output
The calculation puts the total energy at -6.45 eV per atom. The calculation puts the energy relative to the elements at 0.38 eV/atom. The calculated density comes out at 9.54 Mg/m³. Its space-group type is C2/m. As for the polymorph energy (0 for the lowest one): 0.180 eV/atom.



[14]
Computed, not measured: Be2InRu2 after structural relaxation at the GGA-PBEsol level of DFT.

abc: 3.0473 6.2789 6.2789
angles: 90.00 90.00 90.00
With the nearest neighbours (Å) after each atom.
Positions (direct):
Ru: 0.5000 0.1677 0.6677  6 Be 2.38-2.43
Ru: 0.5000 0.6677 0.8323  6 Be 2.38-2.43
Ru: 0.5000 0.8323 0.3323  6 Be 2.38-2.43
Ru: 0.5000 0.3323 0.1677  6 Be 2.38-2.43
Be: 0.0000 0.3814 0.8814  1 Be 2.11
Be: 0.0000 0.8814 0.6186  1 Be 2.11
Be: 0.0000 0.6186 0.1186  1 Be 2.11
Be: 0.0000 0.1186 0.3814  1 Be 2.11
In: 0.0000 0.0000 0.0000  4 Be 2.51, 8 Ru 2.79
In: 0.0000 0.5000 0.5000  4 Be 2.51, 8 Ru 2.79

Output
The calculation puts the total energy at -6.47 eV per atom. The calculation puts the energy relative to the elements at -0.20 eV/atom. The calculated density comes out at 9.26 Mg/m³. Its space-group type is P4/mbm.